#A
# RbTaP3 (PBE, optimized geometry)
data_RbTaP3
_cell_length_a 4.926
_cell_length_b 4.926
_cell_length_c 4.926
_cell_angle_alpha 90.00
_cell_angle_beta 90.00
_cell_angle_gamma 90.00
_symmetry_space_group_name_H-M 'P m -3 m'
_symmetry_Int_Tables_number 221
_symmetry_space_group_name_Hall '-P 4 2 3'
loop_
_atom_site_label
_atom_site_fract_x
_atom_site_fract_y
_atom_site_fract_z
Rb1 0.000 0.000 0.000
Ta1 0.500 0.500 0.500
P1 0.000 0.000 0.500
# - M_tot (μB per formula unit) = 0.00

=====

#B
# RbTaP3 (PBE, optimized geometry)
data_RbTaP3
_cell_length_a 4.927
_cell_length_b 4.927
_cell_length_c 4.927
_cell_angle_alpha 90.00
_cell_angle_beta 90.00
_cell_angle_gamma 90.00
_symmetry_space_group_name_H-M 'P m -3 m'
_symmetry_Int_Tables_number 221
_symmetry_space_group_name_Hall '-P 4 2 3'
loop_
_atom_site_label
_atom_site_fract_x
_atom_site_fract_y
_atom_site_fract_z
Rb1 0.000 0.000 0.000
Ta1 0.500 0.500 0.500
P1 0.000 0.500 0.500
# - M_tot (μB per formula unit) = 0.00

=====

Stability check: which of them is most stable? #B.